# CaPmIn2 (PBE, optimized geometry)
data_CaPmIn2
_space_group_name_H-M_alt 'R -3 m'
_space_group_IT_number 166
_space_group_name_Hall '-R 3 2"'
_cell_length_a 3.7406
_cell_length_b 3.7406
_cell_length_c 30.4677
_cell_angle_alpha 90.00
_cell_angle_beta 90.00
_cell_angle_gamma 120.00
loop_
_atom_site_label
_atom_site_fract_x
_atom_site_fract_y
_atom_site_fract_z
_atom_site_occupancy
Ca1 0.0000 0.0000 0.0000 1
Pm1 0.0000 0.0000 0.5000 1
In1 0.0000 0.0000 0.2501 1
# N(E_F)	12.65	states/eV/cell
# crystal system	trigonal
# calculated volume	369.20	Å³/cell
# formation energy from the elements	-1.14	eV/f.u.